No. 1
Here is a relaxed structure of Nd3ZnAu4 from the Alexandria database. Energies are from PBE.

- crystal system = orthorhombic
- space group = Immm (71)
- E_tot (eV per atom) = -4.201
- size of the total moment (μB per atom) = 0.0000

Geometry as extended XYZ:
```
8
Lattice="-2.777 -3.088 0.231 5.242 -4.741 -0.349 -0.708 3.973 7.150" Properties=species:S:1:pos:R:3 pbc="T T T"
Au 2.450 -4.884 1.611
Au 0.273 -2.916 1.756
Au -0.692 1.029 5.422
Au 1.484 -0.940 5.278
Zn -1.389 -1.544 0.116
Nd 0.198 0.022 2.677
Nd 1.559 -3.878 4.356
Nd 2.621 -2.370 -0.174
```

---

No. 2
Here is a relaxed structure of Ba5InAs8 from the Alexandria database. Energies are from PBE.

- crystal system = tetragonal
- space group = I-4 (82)
- E_tot (eV per atom) = -4.248
- size of the total moment (μB per atom) = 0.0000

Geometry as extended XYZ:
```
14
Lattice="8.410 0.294 -2.607 -4.496 7.113 -2.607 -0.155 -0.294 8.804" Properties=species:S:1:pos:R:3 pbc="T T T"
As -0.051 4.573 -0.429
As 0.756 2.121 0.082
As 4.564 4.872 -1.439
As 2.782 0.597 5.387
As 4.363 5.588 -3.963
As 0.221 4.184 3.661
As 1.843 6.157 4.293
As 0.555 0.361 6.768
Ba 0.150 0.763 3.259
Ba 5.837 2.190 5.431
Ba 2.744 4.714 1.482
Ba 1.957 3.704 -2.607
Ba -1.214 6.559 -2.993
In -1.347 5.262 1.795
```